{
  "formula": "Ca2TmZrO6",
  "functional": "PBE",
  "state": "relaxed",
  "lattice": [[5.723, 0.000, 0.000], [0.000, 5.945, 0.000], [-5.714, 0.000, 8.130]],
  "species": ["Ca", "Ca", "Ca", "Ca", "Tm", "Tm", "Zr", "Zr", "O", "O", "O", "O", "O", "O", "O", "O", "O", "O", "O", "O"],
  "fractional_positions": [[0.227, 0.055, 0.247], [0.227, 0.445, 0.747], [0.773, 0.555, 0.253], [0.773, 0.945, 0.753], [0.000, 0.000, 0.500], [0.000, 0.500, 0.000], [0.500, 0.000, 0.000], [0.500, 0.500, 0.500], [0.142, 0.198, 0.935], [0.142, 0.302, 0.435], [0.233, 0.711, 0.928], [0.233, 0.789, 0.428], [0.384, 0.055, 0.757], [0.384, 0.445, 0.257], [0.616, 0.555, 0.743], [0.616, 0.945, 0.243], [0.767, 0.211, 0.572], [0.767, 0.289, 0.072], [0.858, 0.698, 0.565], [0.858, 0.802, 0.065]],
  "energy_ev_per_cell": -154.250,
  "e_form_raw_kj_per_mol_atoms": -292.9,
  "m_tot_mub_per_fu": 1.1
}

{
  "formula": "Ca3UO6",
  "functional": "PBE",
  "state": "relaxed",
  "lattice": [[4.849, 2.800, 3.833], [-4.849, 2.800, 3.833], [0.000, -5.599, 3.833]],
  "species": ["Ca", "Ca", "Ca", "Ca", "Ca", "Ca", "U", "U", "O", "O", "O", "O", "O", "O", "O", "O", "O", "O", "O", "O"],
  "fractional_positions": [[0.056, 0.750, 0.560], [0.250, 0.440, 0.944], [0.440, 0.944, 0.250], [0.560, 0.056, 0.750], [0.750, 0.560, 0.056], [0.944, 0.250, 0.440], [0.000, 0.000, 0.000], [0.500, 0.500, 0.500], [0.042, 0.706, 0.913], [0.087, 0.958, 0.294], [0.206, 0.436, 0.574], [0.294, 0.087, 0.958], [0.426, 0.794, 0.564], [0.436, 0.574, 0.206], [0.564, 0.426, 0.794], [0.574, 0.206, 0.436], [0.706, 0.913, 0.042], [0.794, 0.564, 0.426], [0.913, 0.042, 0.706], [0.958, 0.294, 0.087]],
  "de_polymorph_mev_per_atom": 0,
  "energy_ev_per_cell": -158.104,
  "e_form_raw_kj_per_mol_atoms": -308.8,
  "m_tot_mub_per_fu": 0.0
}

{
  "formula": "Ca3UO6",
  "functional": "PBE",
  "state": "relaxed",
  "lattice": [[5.762, 0.000, 0.000], [0.000, 5.992, 0.000], [-5.654, 0.000, 8.396]],
  "species": ["Ca", "Ca", "Ca", "Ca", "Ca", "Ca", "U", "U", "O", "O", "O", "O", "O", "O", "O", "O", "O", "O", "O", "O"],
  "fractional_positions": [[0.000, 0.000, 0.000], [0.000, 0.500, 0.500], [0.224, 0.052, 0.740], [0.224, 0.448, 0.240], [0.776, 0.552, 0.760], [0.776, 0.948, 0.260], [0.500, 0.000, 0.500], [0.500, 0.500, 0.000], [0.149, 0.179, 0.445], [0.149, 0.321, 0.945], [0.240, 0.715, 0.417], [0.240, 0.785, 0.917], [0.398, 0.071, 0.269], [0.398, 0.429, 0.769], [0.602, 0.571, 0.231], [0.602, 0.929, 0.731], [0.760, 0.215, 0.083], [0.760, 0.285, 0.583], [0.851, 0.679, 0.055], [0.851, 0.821, 0.555]],
  "de_polymorph_mev_per_atom": 37,
  "energy_ev_per_cell": -157.357,
  "e_form_raw_kj_per_mol_atoms": -305.2,
  "m_tot_mub_per_fu": 0.0
}

{
  "formula": "CaU2O6",
  "functional": "PBE",
  "state": "relaxed",
  "lattice": [[5.904, 0.000, 0.000], [-2.952, 5.113, 0.000], [0.000, 0.000, 4.728]],
  "species": ["Ca", "U", "U", "O", "O", "O", "O", "O", "O"],
  "fractional_positions": [[0.000, 0.000, 0.000], [0.333, 0.667, 0.500], [0.667, 0.333, 0.500], [0.000, 0.358, 0.279], [0.000, 0.642, 0.721], [0.358, 0.000, 0.279], [0.358, 0.358, 0.721], [0.642, 0.000, 0.721], [0.642, 0.642, 0.279]],
  "energy_ev_per_cell": -82.930,
  "e_form_raw_kj_per_mol_atoms": -306.6,
  "m_tot_mub_per_fu": 2.0
}